<i>
A plane-wave DFT calculation with PBE-GGA was carried out for a relaxed SrYLu2 crystal.

Lattice parameters (Å, degrees): 3.6431 3.6431 10.4853 90.00 90.00 90.00
Sites, in units of the cell vectors:
Y: 0.5000 0.5000 0.0000
Sr: 0.5000 0.5000 0.5000
Lu: 0.0000 0.0000 0.7796
Lu: 0.0000 0.0000 0.2204

Calculated values
Fermi-level density of states	6.0	states/eV/f.u.
theoretical density	6.3	g cm⁻³


<ii>
A plane-wave DFT calculation with PBE-GGA was carried out for a relaxed SrYLu2 crystal.

Lattice parameters (Å, degrees): 3.5678 3.5678 12.7870 81.98 81.98 60.00
Sites, in units of the cell vectors:
Y: 0.5000 0.5000 0.5000
Sr: 0.0000 0.0000 0.0000
Lu: 0.0931 0.0931 0.7206
Lu: 0.9069 0.9069 0.2794

Calculated values
Fermi-level density of states	5.4	states/eV/f.u.
theoretical density	6.3	g cm⁻³


<i> is the most stable structure; the next one sits 104 meV per atom above it.


<i>
A plane-wave DFT calculation with PBE-GGA was carried out for a relaxed Tb3Lu crystal.

Lattice parameters (Å, degrees): 3.6082 6.2297 6.6687 117.85 105.70 90.00
Sites, in units of the cell vectors:
Lu: 0.0000 0.0014 0.0000
Tb: 0.2517 0.5849 0.5033
Tb: 0.5000 0.4988 0.0000
Tb: 0.7483 0.0816 0.4967

Calculated values
Fermi-level density of states	6.7	states/eV/f.u.
theoretical density	8.6	g cm⁻³


<ii>
A plane-wave DFT calculation with PBE-GGA was carried out for a relaxed Tb3Lu crystal.

Lattice parameters (Å, degrees): 5.6269 5.6269 5.6269 60.00 60.00 60.00
Sites, in units of the cell vectors:
Lu: 0.5000 0.5000 0.5000
Tb: 0.0000 0.0000 0.0000
Tb: 0.7500 0.7500 0.7500
Tb: 0.2500 0.2500 0.2500

Calculated values
Fermi-level density of states	9.0	states/eV/f.u.
theoretical density	8.6	g cm⁻³


<iii>
A plane-wave DFT calculation with PBE-GGA was carried out for a relaxed Tb3Lu crystal.

Lattice parameters (Å, degrees): 4.9922 4.9922 6.1017 114.15 114.15 90.00
Sites, in units of the cell vectors:
Lu: 0.0000 0.0000 0.0000
Tb: 0.7500 0.2500 0.5000
Tb: 0.2500 0.7500 0.5000
Tb: 0.5000 0.5000 0.0000

Calculated values
Fermi-level density of states	5.8	states/eV/f.u.
theoretical density	8.7	g cm⁻³


<i> is the most stable structure; the next one sits 13 meV per atom above it.


<i>
A plane-wave DFT calculation with PBE-GGA was carried out for a relaxed Tb3Lu crystal.

Lattice parameters (Å, degrees): 3.6069 5.6005 6.2449 90.00 90.00 90.00
Sites, in units of the cell vectors:
Lu: 0.0000 0.0000 0.0009
Tb: 0.0000 0.5000 0.3329
Tb: 0.5000 0.0000 0.4989
Tb: 0.5000 0.5000 0.8339

Calculated values
Fermi-level density of states	6.5	states/eV/f.u.
theoretical density	8.6	g cm⁻³


<ii>
A plane-wave DFT calculation with PBE-GGA was carried out for a relaxed Tb3Lu crystal.

Lattice parameters (Å, degrees): 4.9880 4.9880 4.9880 90.00 90.00 90.00
Sites, in units of the cell vectors:
Lu: 0.0000 0.0000 0.0000
Tb: 0.0000 0.5000 0.5000
Tb: 0.5000 0.0000 0.5000
Tb: 0.5000 0.5000 0.0000

Calculated values
Fermi-level density of states	5.7	states/eV/f.u.
theoretical density	8.7	g cm⁻³


<i> is the most stable structure; the next one sits 13 meV per atom above it.